Density functional theory data (GGA+U) for a geometry-optimized FePdNO2 structure. Values from VASP.

Quantum ESPRESSO input file:
```
&SYSTEM
  ibrav = 0, nat = 5, ntyp = 4
/
ATOMIC_SPECIES
Pd 106.42 Pd.upf
O 16.00 O.upf
N 14.01 N.upf
Fe 55.84 Fe.upf
ATOMIC_POSITIONS crystal
Pd 0.000 0.000 0.000
O 0.000 0.500 0.000
O 0.500 0.000 0.000
N 0.000 0.000 0.500
Fe 0.500 0.500 0.500
CELL_PARAMETERS angstrom
-2.651 -3.123 0.532
2.221 -1.338 3.216
-2.003 2.084 2.250
```

## Properties
- SG = No. 123
- E (eV for the cell shown) = -26.26
- total magnetic moment (μB per formula unit) = 3.75